A plane-wave DFT calculation with GGA+U was carried out for an optimized crystal structure of LiW3O9F.

Unit cell a=7.483 b=12.977 c=8.534 alpha=90.00 beta=115.62 gamma=90.00
Space group Cc (No. 9)
Inequivalent atoms, fractional coordinates:
Li 0.000 0.126 0.000 (multiplicity 4)
W 0.072 0.374 0.489 (multiplicity 4)
W 0.317 0.126 0.474 (multiplicity 4)
W 0.328 0.377 0.996 (multiplicity 4)
O 0.085 0.339 0.003 (multiplicity 4)
O 0.088 0.088 0.511 (multiplicity 4)
O 0.198 0.124 0.245 (multiplicity 4)
O 0.216 0.375 0.757 (multiplicity 4)
O 0.273 0.271 0.502 (multiplicity 4)
O 0.275 0.479 0.507 (multiplicity 4)
O 0.408 0.018 0.006 (multiplicity 4)
O 0.411 0.233 0.015 (multiplicity 4)
O 0.458 0.127 0.754 (multiplicity 4)
F 0.452 0.377 0.258 (multiplicity 4)

Calculated values
Crystal system   monoclinic
Calculated volume   747.3 Å³/cell
Total energy   -398.17 eV per cell